Crystalline LaCrTe2 at its relaxed geometry, computed with GGA-PBEsol. Values from VASP.

The structure in Quantum ESPRESSO input format:
```
&SYSTEM
  ibrav = 0, nat = 4, ntyp = 3
/
ATOMIC_SPECIES
La 138.91 La.upf
Cr 52.00 Cr.upf
Te 127.60 Te.upf
ATOMIC_POSITIONS angstrom
La 0.000 0.000 0.000
Cr 2.181 2.181 3.410
Te 0.000 0.000 3.155
Te 2.181 2.181 0.257
CELL_PARAMETERS angstrom
4.361 0.000 0.000
0.000 4.361 0.000
0.000 0.000 6.199
```

## Properties
The value obtained for the total energy is -6.274 eV/atom. For the uncorrected formation energy, the calculation gives -237 kJ/mol of formula units. The theoretical density comes out at 6.28 g/cm³. The value obtained for the magnetization is 4.510 μB per formula unit.